An optimized crystal structure of BaCeMo2O8, computed with PBE with a Hubbard U.

Geometry as CIF:
```
data_BaCeMo2O8
_cell_length_a 6.0358
_cell_length_b 6.0358
_cell_length_c 7.6789
_cell_angle_alpha 90.00
_cell_angle_beta 90.00
_cell_angle_gamma 120.00
_space_group_name_H-M_alt 'P -3 m 1'
_space_group_IT_number 164
_space_group_name_Hall '-P 3 2"'
loop_
_atom_site_label
_atom_site_fract_x
_atom_site_fract_y
_atom_site_fract_z
Ba1 0.0000 0.0000 0.0000
Ce1 0.0000 0.0000 0.5000
Mo1 0.3333 0.6667 0.7789
O1 0.1651 0.3302 0.7028
O2 0.3333 0.6667 0.0114
```

Properties
DOS at the Fermi energy in states/eV/atom: 0.80
Uncorrected energy in eV/atom: -7.36